## Gd3Sb4 (GGA-PBE)

Data for crystalline Gd3Sb4 at its relaxed geometry.

Unit cell a=9.278 b=9.278 c=9.278 alpha=90.00 beta=90.00 gamma=90.00
Space group I-43d (No. 220)
Inequivalent atoms, fractional coordinates:
Gd: 0.000 0.250 0.875 (multiplicity 12)
Sb: 0.080 0.420 0.580 (multiplicity 16)

- Formation energy (no corrections): -0.867 eV per atom

---

## CaHo2Cu3 (GGA-PBE)

Data for crystalline CaHo2Cu3 at its relaxed geometry.

Unit cell a=3.471 b=3.471 c=10.567 alpha=90.00 beta=90.00 gamma=90.00
Space group P4/mmm (No. 123)
Inequivalent atoms, fractional coordinates:
Ca: 0.000 0.000 0.000 (multiplicity 1)
Ho: 0.000 0.000 0.335 (multiplicity 2)
Cu: 0.500 0.500 0.187 (multiplicity 2)
Cu: 0.500 0.500 0.500 (multiplicity 1)

- DFT formation energy: -0.2057 eV/atom

---

## Li8Cd2Sn3 (GGA-PBE)

Data for crystalline Li8Cd2Sn3 at its relaxed geometry.

Unit cell a=5.5165 b=5.5165 c=29.9699 alpha=90.00 beta=90.00 gamma=120.00
Space group R-3m (No. 166, hexagonal axes)
Inequivalent atoms, fractional coordinates:
Li: 0.0000 0.0000 0.2231 (multiplicity 6)
Li: 0.0032 0.5016 0.2752 (multiplicity 18)
Cd: 0.0000 0.0000 0.1322 (multiplicity 6)
Sn: 0.0000 0.0000 0.3157 (multiplicity 6)
Sn: 0.0000 0.0000 0.5000 (multiplicity 3)

- DFT formation energy: -0.1881 eV/atom

---

Q: What is the formula in the third record?
A: Li8Cd2Sn3